RbHPd2 at its PBEsol-relaxed geometry, computed with SCAN.

## Properties
Mass density in g cm⁻³: 7.221
Size of the total moment in μB per atom: 0.0000
Energy in eV per atom: -22.64

Cell: 8.196 8.196 8.196 Å, 90.00 90.00 90.00°
Space group Fd-3m (No. 227, origin choice 2)
Unique sites:
Rb 0.125 0.125 0.125 [8 per cell]
H 0.125 0.125 0.625 [8 per cell]
Pd 0.000 0.000 0.500 [16 per cell]


Rb3H5Pd at its PBEsol-relaxed geometry, computed with SCAN.

## Properties
Mass density in g cm⁻³: 3.630
Size of the total moment in μB per atom: 0.0000
Energy in eV per atom: -12.81

Cell: 7.553 7.553 5.899 Å, 90.00 90.00 90.00°
Space group P4/mbm (No. 127)
Unique sites:
Rb 0.000 0.000 0.000 [2 per cell]
Rb 0.184 0.316 0.500 [4 per cell]
H 0.000 0.000 0.500 [2 per cell]
H 0.111 0.611 0.194 [8 per cell]
Pd 0.000 0.500 0.000 [2 per cell]


Rb2H4Pd at its PBEsol-relaxed geometry, computed with SCAN.

## Properties
Mass density in g cm⁻³: 3.405
Size of the total moment in μB per atom: 0.0078
Energy in eV per atom: -12.94

Cell: 5.747 5.747 8.310 Å, 90.00 90.00 90.00°
Space group P4_2/mnm (No. 136)
Unique sites:
Rb 0.000 0.500 0.250 [4 per cell]
H 0.000 0.000 0.198 [4 per cell]
H 0.203 0.203 0.000 [4 per cell]
Pd 0.000 0.000 0.000 [2 per cell]


RbH2Pd2 at its PBEsol-relaxed geometry, computed with SCAN.

## Properties
Mass density in g cm⁻³: 6.008
Size of the total moment in μB per atom: 0.0000
Energy in eV per atom: -18.83

Cell: 3.793 3.793 11.536 Å, 90.00 90.00 90.00°
Space group I4/mmm (No. 139)
Unique sites:
Rb 0.000 0.000 0.000 [2 per cell]
H 0.000 0.500 0.250 [4 per cell]
Pd 0.000 0.000 0.264 [4 per cell]


Rb2HPd at its PBEsol-relaxed geometry, computed with SCAN.

## Properties
Mass density in g cm⁻³: 3.789
Size of the total moment in μB per atom: 0.0000
Energy in eV per atom: -19.10

Cell: 7.752 7.752 8.120 Å, 90.00 90.00 90.00°
Space group I-42d (No. 122)
Unique sites:
Rb 0.199 0.250 0.125 [8 per cell]
H 0.000 0.000 0.000 [4 per cell]
Pd 0.000 0.000 0.500 [4 per cell]


ReH2Pd at its PBEsol-relaxed geometry, computed with SCAN.

## Properties
Mass density in g cm⁻³: 13.456
Size of the total moment in μB per atom: 0.4609
Energy in eV per atom: -26.69

Cell: 5.259 5.259 5.259 Å, 90.00 90.00 90.00°
Space group Fm-3m (No. 225)
Unique sites:
Re 0.000 0.000 0.000 [4 per cell]
H 0.250 0.250 0.250 [8 per cell]
Pd 0.000 0.000 0.500 [4 per cell]


Re2H2Pd at its PBEsol-relaxed geometry, computed with SCAN.

## Properties
Mass density in g cm⁻³: 14.823
Size of the total moment in μB per atom: 0.0000
Energy in eV per atom: -35.82

Cell: 3.706 3.706 7.846 Å, 90.00 90.00 90.00°
Space group I4/mmm (No. 139)
Unique sites:
Re 0.000 0.500 0.250 [4 per cell]
H 0.000 0.000 0.153 [4 per cell]
Pd 0.000 0.000 0.500 [2 per cell]


H2PdRh at its PBEsol-relaxed geometry, computed with SCAN.

## Properties
Mass density in g cm⁻³: 9.996
Size of the total moment in μB per atom: 0.0002
Energy in eV per atom: -18.36

Cell: 4.201 4.201 7.956 Å, 90.00 90.00 90.00°
Space group I-42d (No. 122)
Unique sites:
H 0.237 0.250 0.125 [8 per cell]
Pd 0.000 0.000 0.500 [4 per cell]
Rh 0.000 0.000 0.000 [4 per cell]


H2PdRu at its PBEsol-relaxed geometry, computed with SCAN.

## Properties
Mass density in g cm⁻³: 9.928
Size of the total moment in μB per atom: 0.3660
Energy in eV per atom: -18.44

Cell: 4.164 4.164 8.085 Å, 90.00 90.00 90.00°
Space group I-42d (No. 122)
Unique sites:
H 0.244 0.250 0.125 [8 per cell]
Pd 0.000 0.000 0.500 [4 per cell]
Ru 0.000 0.000 0.000 [4 per cell]


HPdRuSe2 at its PBEsol-relaxed geometry, computed with SCAN.

## Properties
Mass density in g cm⁻³: 9.163
Size of the total moment in μB per atom: 0.0005
Energy in eV per atom: -21.89

Cell: 4.476 4.476 3.314 Å, 90.00 90.00 90.00°
Space group P4/mmm (No. 123)
Unique sites:
H 0.000 0.000 0.000 [1 per cell]
Pd 0.500 0.500 0.500 [1 per cell]
Ru 0.000 0.000 0.500 [1 per cell]
Se 0.000 0.500 0.000 [2 per cell]


HPdS2 at its PBEsol-relaxed geometry, computed with SCAN.

## Properties
Mass density in g cm⁻³: 5.094
Size of the total moment in μB per atom: 0.0000
Energy in eV per atom: -13.55

Cell: 5.094 5.094 8.621 Å, 90.00 90.00 90.00°
Space group I-42d (No. 122)
Unique sites:
H 0.000 0.000 0.000 [4 per cell]
Pd 0.000 0.000 0.500 [4 per cell]
S 0.191 0.750 0.125 [8 per cell]


HPdS3 at its PBEsol-relaxed geometry, computed with SCAN.

## Properties
Mass density in g cm⁻³: 5.317
Size of the total moment in μB per atom: 0.0000
Energy in eV per atom: -11.93

Cell: 3.992 3.992 3.992 Å, 90.00 90.00 90.00°
Space group Pm-3m (No. 221)
Unique sites:
H 0.000 0.000 0.000 [1 per cell]
Pd 0.500 0.500 0.500 [1 per cell]
S 0.000 0.000 0.500 [3 per cell]


SbH2Pd at its PBEsol-relaxed geometry, computed with SCAN.

## Properties
Mass density in g cm⁻³: 8.416
Size of the total moment in μB per atom: 0.0000
Energy in eV per atom: -18.54

Cell: 5.664 5.664 5.664 Å, 90.00 90.00 90.00°
Space group Fm-3m (No. 225)
Unique sites:
Sb 0.000 0.000 0.000 [4 per cell]
H 0.250 0.250 0.250 [8 per cell]
Pd 0.000 0.000 0.500 [4 per cell]


Sb2TeHPd at its PBEsol-relaxed geometry, computed with SCAN.

## Properties
Mass density in g cm⁻³: 8.167
Size of the total moment in μB per atom: 0.0000
Energy in eV per atom: -29.09

Cell: 4.298 4.298 5.268 Å, 90.00 90.00 90.00°
Space group P4/mmm (No. 123)
Unique sites:
Sb 0.000 0.500 0.000 [2 per cell]
Te 0.000 0.000 0.500 [1 per cell]
H 0.000 0.000 0.000 [1 per cell]
Pd 0.500 0.500 0.500 [1 per cell]


ScH4Pd3 at its PBEsol-relaxed geometry, computed with SCAN.

## Properties
Mass density in g cm⁻³: 8.596
Size of the total moment in μB per atom: 0.0001
Energy in eV per atom: -16.14

Cell: 4.143 4.143 4.143 Å, 90.00 90.00 90.00°
Space group Pm-3m (No. 221)
Unique sites:
Sc 0.000 0.000 0.000 [1 per cell]
H 0.000 0.000 0.500 [3 per cell]
H 0.500 0.500 0.500 [1 per cell]
Pd 0.000 0.500 0.500 [3 per cell]


SiH2Pd at its PBEsol-relaxed geometry, computed with SCAN.

## Properties
Mass density in g cm⁻³: 5.725
Size of the total moment in μB per atom: 0.0000
Energy in eV per atom: -11.98

Cell: 4.432 4.432 8.063 Å, 90.00 90.00 90.00°
Space group I-42d (No. 122)
Unique sites:
Si 0.000 0.000 0.000 [4 per cell]
H 0.205 0.250 0.625 [8 per cell]
Pd 0.000 0.000 0.500 [4 per cell]


SrHPd3 at its PBEsol-relaxed geometry, computed with SCAN.

## Properties
Mass density in g cm⁻³: 9.263
Size of the total moment in μB per atom: 0.0000
Energy in eV per atom: -25.20

Cell: 4.182 4.182 4.182 Å, 90.00 90.00 90.00°
Space group Pm-3m (No. 221)
Unique sites:
Sr 0.000 0.000 0.000 [1 per cell]
H 0.500 0.500 0.500 [1 per cell]
Pd 0.000 0.500 0.500 [3 per cell]


SrH2Pd2 at its PBEsol-relaxed geometry, computed with SCAN.

## Properties
Mass density in g cm⁻³: 7.143
Size of the total moment in μB per atom: 0.0000
Energy in eV per atom: -19.32

Cell: 3.761 3.761 9.945 Å, 90.00 90.00 90.00°
Space group I4/mmm (No. 139)
Unique sites:
Sr 0.000 0.000 0.000 [2 per cell]
H 0.000 0.500 0.250 [4 per cell]
Pd 0.000 0.000 0.295 [4 per cell]


Sr2H4Pd at its PBEsol-relaxed geometry, computed with SCAN.

## Properties
Mass density in g cm⁻³: 4.896
Size of the total moment in μB per atom: 0.0000
Energy in eV per atom: -13.67

Cell: 7.527 5.393 9.547 Å, 90.00 90.00 90.00°
Space group Pnma (No. 62)
Unique sites:
Sr 0.011 0.250 0.169 [4 per cell]
Sr 0.151 0.750 0.408 [4 per cell]
H 0.009 0.750 0.105 [4 per cell]
H 0.175 0.250 0.410 [4 per cell]
H 0.177 0.521 0.659 [8 per cell]
Pd 0.241 0.750 0.084 [4 per cell]


SrH2Pd at its PBEsol-relaxed geometry, computed with SCAN.

## Properties
Mass density in g cm⁻³: 6.312
Size of the total moment in μB per atom: 0.0000
Energy in eV per atom: -15.97

Cell: 5.444 5.444 6.963 Å, 90.00 90.00 90.00°
Space group I-42d (No. 122)
Unique sites:
Sr 0.000 0.000 0.000 [4 per cell]
H 0.136 0.250 0.625 [8 per cell]
Pd 0.000 0.000 0.500 [4 per cell]


SrZrHPd2 at its PBEsol-relaxed geometry, computed with SCAN.

## Properties
Mass density in g cm⁻³: 6.451
Size of the total moment in μB per atom: 0.0000
Energy in eV per atom: -24.65

Cell: 5.127 5.127 3.845 Å, 90.00 90.00 90.00°
Space group P4/mmm (No. 123)
Unique sites:
Sr 0.000 0.000 0.000 [1 per cell]
Zr 0.500 0.500 0.500 [1 per cell]
H 0.500 0.500 0.000 [1 per cell]
Pd 0.000 0.500 0.500 [2 per cell]


ZrTaH2Pd at its PBEsol-relaxed geometry, computed with SCAN.

## Properties
Mass density in g cm⁻³: 9.010
Size of the total moment in μB per atom: 0.0000
Energy in eV per atom: -27.23

Cell: 3.711 3.711 5.092 Å, 90.00 90.00 90.00°
Space group P4/mmm (No. 123)
Unique sites:
Zr 0.000 0.000 0.000 [1 per cell]
Ta 0.500 0.500 0.500 [1 per cell]
H 0.000 0.500 0.500 [2 per cell]
Pd 0.500 0.500 0.000 [1 per cell]


TcHPd3 at its PBEsol-relaxed geometry, computed with SCAN.

## Properties
Mass density in g cm⁻³: 6.723
Size of the total moment in μB per atom: 0.2136
Energy in eV per atom: -25.64

Cell: 4.692 4.692 4.692 Å, 90.00 90.00 90.00°
Space group Pm-3m (No. 221)
Unique sites:
Tc 0.000 0.000 0.000 [1 per cell]
H 0.500 0.500 0.500 [1 per cell]
Pd 0.000 0.000 0.500 [3 per cell]


ZnTcH2Pd at its PBEsol-relaxed geometry, computed with SCAN.

## Properties
Mass density in g cm⁻³: 7.334
Size of the total moment in μB per atom: 0.4743
Energy in eV per atom: -17.22

Cell: 3.470 3.470 5.113 Å, 90.00 90.00 90.00°
Space group P4/mmm (No. 123)
Unique sites:
Zn 0.000 0.000 0.000 [1 per cell]
Tc 0.500 0.500 0.500 [1 per cell]
H 0.000 0.500 0.500 [2 per cell]
Pd 0.500 0.500 0.000 [1 per cell]


TiH2Pd2 at its PBEsol-relaxed geometry, computed with SCAN.

## Properties
Mass density in g cm⁻³: 8.671
Size of the total moment in μB per atom: 0.0639
Energy in eV per atom: -18.00

Cell: 3.464 3.464 8.385 Å, 90.00 90.00 90.00°
Space group I4/mmm (No. 139)
Unique sites:
Ti 0.000 0.000 0.000 [2 per cell]
H 0.000 0.500 0.250 [4 per cell]
Pd 0.000 0.000 0.338 [4 per cell]